a | This record from Alexandria via LeMat-Bulk describes a relaxed structure of AlCrFe2. The functional is PBE.

Cell lengths 3.597, 3.597, 3.743 Å; angles 90.00, 90.00, 90.00 degrees
Element x y z (fractional)
Al 0.000 0.000 0.000
Cr 0.500 0.500 0.000
Fe 0.000 0.500 0.500
Fe 0.500 0.000 0.500

Values from the calculation:
spin magnetization: 4.55 μB/f.u.
D(E_F): 4.4 states/eV/cell
space group: P4/mmm


b | This record from Alexandria via LeMat-Bulk describes a relaxed structure of AlCrFe2. The functional is PBE.

Cell lengths 2.616, 2.616, 8.183 Å; angles 99.27, 99.27, 59.95 degrees
Element x y z (fractional)
Al 0.000 0.000 0.000
Cr 0.167 0.167 0.501
Fe 0.581 0.581 0.745
Fe 0.752 0.752 0.256

Values from the calculation:
spin magnetization: 2.27 μB/f.u.
D(E_F): 4.0 states/eV/cell
space group: Cm


c | This record from Alexandria via LeMat-Bulk describes a relaxed structure of AlCrFe2. The functional is PBE.

Cell lengths 2.510, 4.071, 4.728 Å; angles 90.00, 100.53, 90.00 degrees
Element x y z (fractional)
Al 0.000 0.000 0.000
Cr 0.712 0.500 0.277
Fe 0.307 0.500 0.778
Fe 0.483 0.000 0.504

Values from the calculation:
spin magnetization: 2.96 μB/f.u.
D(E_F): 3.5 states/eV/cell
space group: Pm


d | This record from Alexandria via LeMat-Bulk describes a relaxed structure of AlCrFe2. The functional is PBE.

Cell lengths 2.901, 2.901, 5.763 Å; angles 90.00, 90.00, 90.00 degrees
Element x y z (fractional)
Al 0.000 0.000 0.000
Cr 0.500 0.500 0.283
Fe 0.000 0.000 0.504
Fe 0.500 0.500 0.745

Values from the calculation:
spin magnetization: 2.97 μB/f.u.
D(E_F): 4.0 states/eV/cell
space group: P4mm


d wins, 9 meV per atom ahead of the next structure.


a | This record from Alexandria via LeMat-Bulk describes a relaxed structure of AlCrFe2. The functional is PBE.

Cell lengths 4.684, 4.684, 2.509 Å; angles 99.66, 99.66, 115.05 degrees
Element x y z (fractional)
Al 0.000 0.000 0.000
Cr 0.500 0.500 0.000
Fe 0.000 0.500 0.500
Fe 0.500 0.000 0.500

Values from the calculation:
spin magnetization: 3.14 μB/f.u.
D(E_F): 4.5 states/eV/cell
space group: C2/m


b | This record from Alexandria via LeMat-Bulk describes a relaxed structure of AlCrFe2. The functional is PBE.

Cell lengths 2.514, 3.910, 4.936 Å; angles 90.00, 102.52, 90.00 degrees
Element x y z (fractional)
Al 0.000 0.000 0.000
Cr 0.500 0.000 0.500
Fe 0.290 0.500 0.748
Fe 0.710 0.500 0.252

Values from the calculation:
spin magnetization: 2.94 μB/f.u.
D(E_F): 4.0 states/eV/cell
space group: P2/m


c | This record from Alexandria via LeMat-Bulk describes a relaxed structure of AlCrFe2. The functional is PBE.

Cell lengths 4.090, 4.090, 4.090 Å; angles 60.00, 60.00, 60.00 degrees
Element x y z (fractional)
Al 0.000 0.000 0.000
Cr 0.250 0.250 0.250
Fe 0.500 0.500 0.500
Fe 0.750 0.750 0.750

Values from the calculation:
spin magnetization: 2.37 μB/f.u.
D(E_F): 3.2 states/eV/cell
space group: F-43m


c wins, 21 meV per atom ahead of the next structure.


a | This record from Alexandria via LeMat-Bulk describes a relaxed structure of AlCrFe3. The functional is PBE.

Cell lengths 4.180, 4.180, 4.180 Å; angles 90.00, 90.00, 90.00 degrees
Element x y z (fractional)
Al 0.000 0.000 0.000
Cr 0.500 0.500 0.500
Fe 0.000 0.500 0.500
Fe 0.500 0.000 0.500
Fe 0.500 0.500 0.000

Values from the calculation:
spin magnetization: 3.16 μB/f.u.
D(E_F): 6.8 states/eV/cell
space group: Pm-3m


b | This record from Alexandria via LeMat-Bulk describes a relaxed structure of AlCrFe3. The functional is PBE.

Cell lengths 6.400, 6.400, 4.628 Å; angles 107.11, 107.11, 41.34 degrees
Element x y z (fractional)
Al 0.179 0.179 0.442
Al 0.821 0.821 0.558
Cr 0.410 0.410 0.863
Cr 0.590 0.590 0.137
Fe 0.000 0.500 0.000
Fe 0.050 0.050 0.810
Fe 0.399 0.399 0.396
Fe 0.500 0.000 0.000
Fe 0.601 0.601 0.604
Fe 0.950 0.950 0.190

Values from the calculation:
spin magnetization: 3.68 μB/f.u.
D(E_F): 8.5 states/eV/cell
space group: C2/m


b wins, 1005 meV per atom ahead of the next structure.


a | This record from Alexandria via LeMat-Bulk describes a relaxed structure of Al2CrFe2. The functional is PBE.

Cell lengths 6.853, 6.853, 2.720 Å; angles 90.00, 90.00, 90.00 degrees
Element x y z (fractional)
Al 0.137 0.363 0.000
Al 0.363 0.863 0.000
Al 0.637 0.137 0.000
Al 0.863 0.637 0.000
Cr 0.000 0.000 0.000
Cr 0.500 0.500 0.000
Fe 0.161 0.661 0.500
Fe 0.339 0.161 0.500
Fe 0.661 0.839 0.500
Fe 0.839 0.339 0.500

Values from the calculation:
spin magnetization: 4.64 μB/f.u.
D(E_F): 9.6 states/eV/cell
space group: P4/mbm


b | This record from Alexandria via LeMat-Bulk describes a relaxed structure of Al2CrFe2. The functional is PBE.

Cell lengths 5.762, 5.762, 3.867 Å; angles 90.00, 90.00, 90.00 degrees
Element x y z (fractional)
Al 0.175 0.325 0.000
Al 0.325 0.825 0.000
Al 0.675 0.175 0.000
Al 0.825 0.675 0.000
Cr 0.000 0.000 0.500
Cr 0.500 0.500 0.500
Fe 0.133 0.633 0.500
Fe 0.367 0.133 0.500
Fe 0.633 0.867 0.500
Fe 0.867 0.367 0.500

Values from the calculation:
spin magnetization: 0.14 μB/f.u.
D(E_F): 7.3 states/eV/cell
space group: P4/mbm


b wins, 71 meV per atom ahead of the next structure.


a | This record from Alexandria via LeMat-Bulk describes a relaxed structure of AlCr3Fe. The functional is PBE.

Cell lengths 4.261, 4.261, 4.261 Å; angles 90.00, 90.00, 90.00 degrees
Element x y z (fractional)
Al 0.000 0.000 0.000
Cr 0.000 0.000 0.500
Cr 0.000 0.500 0.000
Cr 0.500 0.000 0.000
Fe 0.500 0.500 0.500

Values from the calculation:
spin magnetization: 3.91 μB/f.u.
D(E_F): 6.9 states/eV/cell
space group: Pm-3m


b | This record from Alexandria via LeMat-Bulk describes a relaxed structure of AlCr3Fe. The functional is PBE.

Cell lengths 4.231, 4.231, 4.231 Å; angles 90.00, 90.00, 90.00 degrees
Element x y z (fractional)
Al 0.000 0.000 0.000
Cr 0.000 0.500 0.500
Cr 0.500 0.000 0.500
Cr 0.500 0.500 0.000
Fe 0.500 0.500 0.500

Values from the calculation:
spin magnetization: 3.47 μB/f.u.
D(E_F): 4.4 states/eV/cell
space group: Pm-3m


b wins, 935 meV per atom ahead of the next structure.


a | This record from Alexandria via LeMat-Bulk describes a relaxed structure of AlCr4Fe. The functional is PBE.

Cell lengths 2.937, 2.937, 8.498 Å; angles 90.00, 90.00, 90.00 degrees
Element x y z (fractional)
Al 0.000 0.000 0.000
Cr 0.000 0.000 0.332
Cr 0.000 0.000 0.668
Cr 0.500 0.500 0.186
Cr 0.500 0.500 0.814
Fe 0.500 0.500 0.500

Values from the calculation:
spin magnetization: 3.37 μB/f.u.
D(E_F): 6.2 states/eV/cell
space group: P4/mmm


b | This record from Alexandria via LeMat-Bulk describes a relaxed structure of AlCr4Fe. The functional is PBE.

Cell lengths 4.717, 4.717, 4.717 Å; angles 60.00, 60.00, 60.00 degrees
Element x y z (fractional)
Al 0.000 0.000 0.000
Cr 0.124 0.625 0.625
Cr 0.625 0.124 0.625
Cr 0.625 0.625 0.124
Cr 0.625 0.625 0.625
Fe 0.250 0.250 0.250

Values from the calculation:
spin magnetization: 2.19 μB/f.u.
D(E_F): 6.3 states/eV/cell
space group: F-43m


a wins, 115 meV per atom ahead of the next structure.